(1)
This record from the Alexandria database describes a relaxed structure of Ba2TlNiP. The functional is PBE.

## Properties
Energy above the lowest structure with this stoichiometry in eV/atom: 0.7581
Energy relative to the elements in meV/atom: 312
Size of the total moment in μB per formula unit: 0.27

a b c (Å): 6.4270 6.4270 4.7216
angles (deg): 90.00 90.00 90.00
Atoms (fractional coordinates):
Ba 0.0000 0.5000 0.0000
Ba 0.5000 0.0000 0.0000
Tl 0.0000 0.0000 0.0000
Ni 0.0000 0.0000 0.5000
P 0.5000 0.5000 0.5000


(2)
This record from the Alexandria database describes a relaxed structure of BaTlNiP. The functional is PBE.

## Properties
Energy relative to the elements in meV/atom: -535
Size of the total moment in μB per formula unit: 0.00

a b c (Å): 4.1881 4.1881 11.9635
angles (deg): 90.00 90.00 90.00
Atoms (fractional coordinates):
Ba 0.2500 0.2500 0.2157
Ba 0.7500 0.7500 0.7843
Tl 0.2500 0.7500 0.5000
Tl 0.7500 0.2500 0.5000
Ni 0.2500 0.7500 0.0000
Ni 0.7500 0.2500 0.0000
P 0.2500 0.2500 0.9154
P 0.7500 0.7500 0.0846


(3)
This record from the Alexandria database describes a relaxed structure of BaZnNiP2. The functional is PBE.

## Properties
Energy relative to the elements in meV/atom: -601
Size of the total moment in μB per formula unit: 0.00

a b c (Å): 6.3144 6.3144 9.0418
angles (deg): 97.31 97.31 37.12
Atoms (fractional coordinates):
Ba 0.1589 0.1589 0.1782
Ba 0.8411 0.8411 0.8218
Zn 0.4484 0.4484 0.3155
Zn 0.5516 0.5516 0.6845
Ni 0.1725 0.1725 0.5728
Ni 0.8275 0.8275 0.4272
P 0.1209 0.1209 0.8113
P 0.3579 0.3579 0.5475
P 0.6421 0.6421 0.4525
P 0.8791 0.8791 0.1887


(4)
This record from the Alexandria database describes a relaxed structure of BaPa2NiS8. The functional is PBE.

## Properties
E_form (uncorrected) in eV/atom: -1.21
Size of the total moment in μB per formula unit: 0.00

a b c (Å): 5.9383 5.9383 8.5384
angles (deg): 90.00 90.00 120.00
Atoms (fractional coordinates):
Ba 0.0000 0.0000 0.0000
Pa 0.3333 0.6667 0.3769
Pa 0.6667 0.3333 0.6231
Ni 0.0000 0.0000 0.5000
S 0.1736 0.3472 0.6576
S 0.1736 0.8264 0.6576
S 0.3333 0.6667 0.0871
S 0.3472 0.1736 0.3424
S 0.6528 0.8264 0.6576
S 0.6667 0.3333 0.9129
S 0.8264 0.1736 0.3424
S 0.8264 0.6528 0.3424


(5)
This record from the Alexandria database describes a relaxed structure of BaPa4Ni3S12. The functional is PBE.

## Properties
E_form (uncorrected) in eV/atom: -1.20
Size of the total moment in μB per formula unit: 1.74

a b c (Å): 8.3826 8.3826 8.3826
angles (deg): 109.47 109.47 109.47
Atoms (fractional coordinates):
Ba 0.0000 0.0000 0.0000
Pa 0.0000 0.0000 0.5000
Pa 0.0000 0.5000 0.0000
Pa 0.5000 0.0000 0.0000
Pa 0.5000 0.5000 0.5000
Ni 0.0000 0.5000 0.5000
Ni 0.5000 0.0000 0.5000
Ni 0.5000 0.5000 0.0000
S 0.1590 0.3209 0.4799
S 0.1590 0.6791 0.8381
S 0.1619 0.8410 0.3209
S 0.3209 0.1619 0.8410
S 0.3209 0.4799 0.1590
S 0.4799 0.1590 0.3209
S 0.5201 0.8410 0.6791
S 0.6791 0.5201 0.8410
S 0.6791 0.8381 0.1590
S 0.8381 0.1590 0.6791
S 0.8410 0.3209 0.1619
S 0.8410 0.6791 0.5201


(6)
This record from the Alexandria database describes a relaxed structure of BaPaNiS4. The functional is PBE.

## Properties
E_form (uncorrected) in eV/atom: -1.47
Size of the total moment in μB per formula unit: 0.00

a b c (Å): 6.4362 5.9163 8.5818
angles (deg): 90.00 107.32 90.00
Atoms (fractional coordinates):
Ba 0.2458 0.2500 0.4417
Ba 0.7542 0.7500 0.5583
Pa 0.2430 0.2500 0.9425
Pa 0.7570 0.7500 0.0575
Ni 0.2709 0.7500 0.1622
Ni 0.7291 0.2500 0.8378
S 0.0673 0.7500 0.9091
S 0.0727 0.7500 0.3426
S 0.4799 0.5133 0.7874
S 0.4799 0.9867 0.7874
S 0.5201 0.0133 0.2126
S 0.5201 0.4867 0.2126
S 0.9273 0.2500 0.6574
S 0.9327 0.2500 0.0909


Q: size of the total moment of number 2 (BaTlNiP)?
A: 0.00 μB per formula unit